[1]
VASP calculation (GGA-PBEsol) on Tl2SbPt after structural relaxation.

```
4
Lattice="3.977 0.000 0.000 0.000 4.441 0.000 0.000 0.000 5.220" Properties=species:S:1:pos:R:3 pbc="T T T"
Tl 0.000 0.000 0.000
Tl 1.989 2.220 0.000
Sb 0.000 2.220 2.610
Pt 1.989 0.000 2.610
```

Results
**Total magnetization**: 0.000 μB per cell
**Uncorrected energy**: -0.294 Ry per atom
**Symmetry**: Pmmm (47)
**Uncorrected formation energy**: 0.77 eV per formula unit
**Offset from the most stable computed form**: 299 meV per atom
**Theoretical density**: 13070 kg/m3

[2]
VASP calculation (GGA-PBEsol) on Tl2SbPt after structural relaxation.

```
16
Lattice="7.129 0.000 0.000 0.000 7.129 0.000 0.000 0.000 7.129" Properties=species:S:1:pos:R:3 pbc="T T T"
Tl 0.000 0.000 0.000
Tl 0.000 3.565 3.565
Tl 1.782 1.782 1.782
Tl 1.782 5.347 5.347
Tl 3.565 0.000 3.565
Tl 3.565 3.565 0.000
Tl 5.347 1.782 5.347
Tl 5.347 5.347 1.782
Sb 0.000 0.000 3.565
Sb 0.000 3.565 0.000
Sb 3.565 0.000 0.000
Sb 3.565 3.565 3.565
Pt 1.782 1.782 5.347
Pt 1.782 5.347 1.782
Pt 5.347 1.782 1.782
Pt 5.347 5.347 5.347
```

Results
**Total magnetization**: 0.001 μB per cell
**Uncorrected energy**: -0.297 Ry per atom
**Symmetry**: F-43m (216)
**Uncorrected formation energy**: 0.63 eV per formula unit
**Offset from the most stable computed form**: 265 meV per atom
**Theoretical density**: 13301 kg/m3

[3]
VASP calculation (GGA-PBEsol) on Tl3SbPt after structural relaxation.

```
5
Lattice="5.247 0.000 0.000 0.000 5.247 0.000 0.000 0.000 5.247" Properties=species:S:1:pos:R:3 pbc="T T T"
Tl 0.000 0.000 2.623
Tl 0.000 2.623 0.000
Tl 2.623 0.000 0.000
Sb 2.623 2.623 2.623
Pt 0.000 0.000 0.000
```

Results
**Total magnetization**: 0.031 μB per cell
**Uncorrected energy**: -0.274 Ry per atom
**Symmetry**: Pm-3m (221)
**Uncorrected formation energy**: 0.80 eV per formula unit
**Theoretical density**: 10691 kg/m3

[4]
VASP calculation (GGA-PBEsol) on Tl2SbPt after structural relaxation.

```
12
Lattice="4.147 0.000 0.000 -2.074 3.591 0.000 0.000 0.000 20.868" Properties=species:S:1:pos:R:3 pbc="T T T"
Tl 0.000 0.000 0.000
Tl 0.000 0.000 4.803
Tl 0.000 2.394 13.912
Tl 0.000 2.394 18.715
Tl 2.074 1.197 6.956
Tl 2.074 1.197 11.759
Sb 0.000 0.000 9.551
Sb 0.000 2.394 2.595
Sb 2.074 1.197 16.507
Pt 0.000 0.000 15.434
Pt 0.000 2.394 8.478
Pt 2.074 1.197 1.522
```

Results
**Total magnetization**: 0.000 μB per cell
**Uncorrected energy**: -0.316 Ry per atom
**Symmetry**: R3m (160)
**Uncorrected formation energy**: -0.43 eV per formula unit
**Offset from the most stable computed form**: 0 meV per atom
**Theoretical density**: 11630 kg/m3

[5]
VASP calculation (GGA-PBEsol) on Tm5SbPt2 after structural relaxation.

```
16
Lattice="-3.772 3.772 6.639 3.772 -3.772 6.639 3.772 3.772 -6.639" Properties=species:S:1:pos:R:3 pbc="T T T"
Tm 0.000 0.000 0.000
Tm 4.959 1.186 -1.853
Tm 1.186 2.586 -1.853
Tm 4.959 1.186 1.853
Tm 1.186 2.586 1.853
Tm 0.000 0.000 6.639
Tm 2.586 1.186 4.786
Tm -1.186 2.586 4.786
Tm 2.586 1.186 8.491
Tm -1.186 2.586 8.491
Sb 0.000 0.000 3.319
Sb 0.000 0.000 9.958
Pt 2.731 1.041 0.000
Pt 2.731 -1.041 6.639
Pt 1.041 4.813 0.000
Pt 1.041 2.731 6.639
```

Results
**Total magnetization**: 0.000 μB per cell
**Uncorrected energy**: -0.470 Ry per atom
**Symmetry**: I4/mcm (140)
**Uncorrected formation energy**: -8.15 eV per formula unit
**Theoretical density**: 11924 kg/m3

[6]
VASP calculation (GGA-PBEsol) on U3Sb4Pt3 after structural relaxation.

```
20
Lattice="-4.797 4.797 4.797 4.797 -4.797 4.797 4.797 4.797 -4.797" Properties=species:S:1:pos:R:3 pbc="T T T"
U 7.196 1.199 0.000
U 3.598 0.000 2.399
U 2.399 3.598 0.000
U 0.000 2.399 3.598
U 1.199 0.000 7.196
U 0.000 7.196 1.199
Sb 3.932 0.865 -0.865
Sb 6.331 -1.534 1.534
Sb 0.865 0.865 0.865
Sb 0.865 -0.865 3.932
Sb -0.865 3.932 0.865
Sb 1.534 6.331 -1.534
Sb 3.264 3.264 3.264
Sb -1.534 1.534 6.331
Pt 4.797 -2.399 3.598
Pt 3.598 4.797 -2.399
Pt 4.797 2.399 1.199
Pt 2.399 1.199 4.797
Pt 1.199 4.797 2.399
Pt -2.399 3.598 4.797
```

Results
**Total magnetization**: 12.019 μB per cell
**Uncorrected energy**: -0.594 Ry per atom
**Symmetry**: I-43d (220)
**Uncorrected formation energy**: -5.22 eV per formula unit
**Theoretical density**: 13435 kg/m3

[7]
VASP calculation (GGA-PBEsol) on Sb2PtW after structural relaxation.

```
12
Lattice="3.221 0.000 0.000 -1.610 2.789 0.000 0.000 0.000 25.100" Properties=species:S:1:pos:R:3 pbc="T T T"
Sb 0.000 0.000 6.274
Sb 0.000 0.000 18.826
Sb 0.000 1.859 10.459
Sb 0.000 1.859 23.008
Sb 1.610 0.930 2.093
Sb 1.610 0.930 14.641
Pt 0.000 0.000 0.000
Pt 0.000 1.859 16.734
Pt 1.610 0.930 8.367
W 0.000 0.000 12.550
W 0.000 1.859 4.183
W 1.610 0.930 20.917
```

Results
**Total magnetization**: 0.001 μB per cell
**Uncorrected energy**: -0.527 Ry per atom
**Symmetry**: R-3m (166)
**Uncorrected formation energy**: 1.19 eV per formula unit
**Offset from the most stable computed form**: 33 meV per atom
**Theoretical density**: 13751 kg/m3

[8]
VASP calculation (GGA-PBEsol) on SbPt2W after structural relaxation.

```
4
Lattice="4.947 0.000 0.000 0.000 4.947 0.000 0.000 0.000 2.800" Properties=species:S:1:pos:R:3 pbc="T T T"
Sb 0.000 0.000 0.000
Pt 0.000 2.473 1.400
Pt 2.473 0.000 1.400
W 2.473 2.473 0.000
```

Results
**Total magnetization**: 0.000 μB per cell
**Uncorrected energy**: -0.577 Ry per atom
**Symmetry**: P4/mmm (123)
**Uncorrected formation energy**: 0.90 eV per formula unit
**Theoretical density**: 16863 kg/m3

[9]
VASP calculation (GGA-PBEsol) on SbPtW after structural relaxation.

```
6
Lattice="2.881 0.000 0.000 0.000 4.012 0.000 0.000 0.000 9.137" Properties=species:S:1:pos:R:3 pbc="T T T"
Sb 0.000 0.000 0.000
Sb 1.440 2.006 4.568
Pt 0.000 0.000 2.892
Pt 1.440 2.006 7.460
W 0.000 0.000 6.287
W 1.440 2.006 1.718
```

Results
**Total magnetization**: 0.000 μB per cell
**Uncorrected energy**: -0.593 Ry per atom
**Symmetry**: Imm2 (44)
**Uncorrected formation energy**: 1.11 eV per formula unit
**Offset from the most stable computed form**: 0 meV per atom
**Theoretical density**: 15746 kg/m3

[10]
VASP calculation (GGA-PBEsol) on SbPtW after structural relaxation.

```
12
Lattice="6.172 0.000 0.000 0.000 6.172 0.000 0.000 0.000 6.172" Properties=species:S:1:pos:R:3 pbc="T T T"
Sb 0.000 0.000 0.000
Sb 0.000 3.086 3.086
Sb 3.086 0.000 3.086
Sb 3.086 3.086 0.000
Pt 1.543 1.543 4.629
Pt 1.543 4.629 1.543
Pt 4.629 1.543 1.543
Pt 4.629 4.629 4.629
W 1.543 1.543 1.543
W 1.543 4.629 4.629
W 4.629 1.543 4.629
W 4.629 4.629 1.543
```

Results
**Total magnetization**: 0.000 μB per cell
**Uncorrected energy**: -0.569 Ry per atom
**Symmetry**: F-43m (216)
**Uncorrected formation energy**: 2.10 eV per formula unit
**Offset from the most stable computed form**: 331 meV per atom
**Theoretical density**: 14143 kg/m3

[11]
VASP calculation (GGA-PBEsol) on SbPt2W after structural relaxation.

```
8
Lattice="5.465 0.000 0.000 0.000 8.331 0.000 0.000 0.000 2.913" Properties=species:S:1:pos:R:3 pbc="T T T"
Sb 0.000 0.000 0.000
Sb 2.732 4.166 0.000
Pt 1.366 2.083 1.457
Pt 1.366 6.248 1.457
Pt 4.099 2.083 1.457
Pt 4.099 6.248 1.457
W 0.000 4.166 0.000
W 2.732 0.000 0.000
```

Results
**Total magnetization**: 0.001 μB per cell
**Uncorrected energy**: -0.586 Ry per atom
**Symmetry**: Cmmm (65)
**Uncorrected formation energy**: 0.40 eV per formula unit
**Theoretical density**: 17423 kg/m3

[12]
VASP calculation (GGA-PBEsol) on SbPt2W after structural relaxation.

```
8
Lattice="9.377 0.000 0.000 0.000 3.012 0.000 -0.663 0.000 4.702" Properties=species:S:1:pos:R:3 pbc="T T T"
Sb 0.000 0.000 0.000
Sb 4.689 1.506 0.000
Pt 1.762 0.000 3.449
Pt 2.264 1.506 1.253
Pt 6.451 1.506 3.449
Pt 6.952 0.000 1.253
W -0.331 1.506 2.351
W 4.357 0.000 2.351
```

Results
**Total magnetization**: 0.000 μB per cell
**Uncorrected energy**: -0.584 Ry per atom
**Symmetry**: C2/m (12)
**Uncorrected formation energy**: 0.53 eV per formula unit
**Theoretical density**: 17397 kg/m3